Record 1
{"formula": "Cd2Ag2Au3", "functional": "PBE", "state": "optimized geometry", "lattice": [[4.685, -2.096, 0.000], [4.685, 2.096, 0.000], [-0.979, 0.000, 6.668]], "species": ["Cd", "Cd", "Ag", "Ag", "Au", "Au", "Au"], "fractional_positions": [[0.073, 0.073, 0.221], [0.927, 0.927, 0.779], [0.358, 0.358, 0.073], [0.642, 0.642, 0.927], [0.216, 0.216, 0.650], [0.500, 0.500, 0.500], [0.784, 0.784, 0.350]], "total_energy_ev_per_cell": -18.13, "rho_g_cm3": 13.1, "space_group": "C2/m (12)", "crystal_system": "monoclinic"}

Record 2
{"formula": "Cd5Ag2Au5", "functional": "PBE", "state": "optimized geometry", "lattice": [[6.543, -2.055, 0.000], [6.543, 2.055, 0.000], [-4.253, 0.000, 8.513]], "species": ["Cd", "Cd", "Cd", "Cd", "Cd", "Ag", "Ag", "Au", "Au", "Au", "Au", "Au"], "fractional_positions": [[0.000, 0.000, 0.000], [0.078, 0.078, 0.746], [0.251, 0.251, 0.254], [0.749, 0.749, 0.746], [0.922, 0.922, 0.254], [0.168, 0.168, 0.501], [0.832, 0.832, 0.499], [0.333, 0.333, 0.000], [0.414, 0.414, 0.747], [0.500, 0.500, 0.500], [0.586, 0.586, 0.253], [0.667, 0.667, 0.000]], "total_energy_ev_per_cell": -28.32, "rho_g_cm3": 12.8, "space_group": "C2/m (12)", "crystal_system": "monoclinic"}

Record 3
{"formula": "CdAgAu", "functional": "PBE", "state": "optimized geometry", "lattice": [[3.026, 0.000, 0.000], [-0.009, 4.748, 0.000], [-0.014, -0.632, 4.781]], "species": ["Cd", "Ag", "Au"], "fractional_positions": [[0.000, 0.000, 0.000], [0.000, 0.500, 0.500], [0.500, 0.000, 0.500]], "total_energy_ev_per_cell": -7.08, "rho_g_cm3": 10.1, "space_group": "P-1 (2)", "crystal_system": "triclinic"}

Record 4
{"formula": "Cd2Ag6Au3", "functional": "PBE", "state": "optimized geometry", "lattice": [[-1.947, 1.947, 14.846], [1.947, -1.947, 14.846], [1.947, 1.947, -14.846]], "species": ["Cd", "Cd", "Ag", "Ag", "Ag", "Ag", "Ag", "Ag", "Au", "Au", "Au"], "fractional_positions": [[0.172, 0.172, 0.000], [0.828, 0.828, 0.000], [0.069, 0.569, 0.500], [0.268, 0.268, 0.000], [0.431, 0.931, 0.500], [0.569, 0.069, 0.500], [0.732, 0.732, 0.000], [0.931, 0.431, 0.500], [0.361, 0.361, 0.000], [0.500, 0.500, 0.000], [0.639, 0.639, 0.000]], "total_energy_ev_per_cell": -28.07, "rho_g_cm3": 10.8, "space_group": "I4/mmm (139)", "crystal_system": "tetragonal"}

Record 5
{"formula": "Cd3AgAu3", "functional": "PBE", "state": "optimized geometry", "lattice": [[3.900, -4.441, 0.000], [3.900, 4.441, 0.000], [0.000, 0.000, 8.332]], "species": ["Cd", "Cd", "Cd", "Cd", "Cd", "Cd", "Ag", "Ag", "Au", "Au", "Au", "Au", "Au", "Au"], "fractional_positions": [[0.224, 0.776, 0.000], [0.292, 0.292, 0.500], [0.299, 0.299, 0.000], [0.701, 0.701, 0.000], [0.708, 0.708, 0.500], [0.776, 0.224, 0.000], [0.231, 0.769, 0.500], [0.769, 0.231, 0.500], [0.000, 0.000, 0.252], [0.000, 0.000, 0.748], [0.000, 0.500, 0.252], [0.000, 0.500, 0.748], [0.500, 0.000, 0.252], [0.500, 0.000, 0.748]], "total_energy_ev_per_cell": -32.09, "rho_g_cm3": 11.9, "space_group": "Cmmm (65)", "crystal_system": "orthorhombic"}

Record 6
{"formula": "CdAg4Au", "functional": "PBE", "state": "optimized geometry", "lattice": [[3.986, 0.000, 0.000], [0.000, 3.986, 0.000], [0.000, 0.000, 8.281]], "species": ["Cd", "Ag", "Ag", "Ag", "Ag", "Au"], "fractional_positions": [[0.000, 0.000, 0.000], [0.000, 0.500, 0.257], [0.000, 0.500, 0.743], [0.500, 0.000, 0.257], [0.500, 0.000, 0.743], [0.500, 0.500, 0.500]], "total_energy_ev_per_cell": -14.78, "rho_g_cm3": 9.4, "space_group": "P4/mmm (123)", "crystal_system": "tetragonal"}

Record 7
{"formula": "CdAg6Au2", "functional": "PBE", "state": "optimized geometry", "lattice": [[5.298, -4.997, 0.000], [5.298, 4.997, 0.000], [-4.396, 0.000, 6.272]], "species": ["Cd", "Cd", "Ag", "Ag", "Ag", "Ag", "Ag", "Ag", "Ag", "Ag", "Ag", "Ag", "Ag", "Ag", "Au", "Au", "Au", "Au"], "fractional_positions": [[0.132, 0.868, 0.750], [0.868, 0.132, 0.250], [0.010, 0.768, 0.304], [0.096, 0.353, 0.137], [0.232, 0.990, 0.196], [0.320, 0.573, 0.029], [0.353, 0.096, 0.637], [0.427, 0.680, 0.471], [0.573, 0.320, 0.529], [0.647, 0.904, 0.363], [0.680, 0.427, 0.971], [0.768, 0.010, 0.804], [0.904, 0.647, 0.863], [0.990, 0.232, 0.696], [0.210, 0.451, 0.580], [0.451, 0.210, 0.080], [0.549, 0.790, 0.920], [0.790, 0.549, 0.420]], "total_energy_ev_per_cell": -49.27, "rho_g_cm3": 11.5, "space_group": "C2/c (15)", "crystal_system": "monoclinic"}

Record 8
{"formula": "Cd4AgAu5", "functional": "PBE", "state": "optimized geometry", "lattice": [[3.404, 0.000, 0.000], [0.000, 3.404, 0.000], [0.000, 0.000, 16.562]], "species": ["Cd", "Cd", "Cd", "Cd", "Ag", "Au", "Au", "Au", "Au", "Au"], "fractional_positions": [[0.000, 0.000, 0.102], [0.000, 0.000, 0.306], [0.000, 0.000, 0.694], [0.000, 0.000, 0.898], [0.000, 0.000, 0.500], [0.500, 0.500, 0.000], [0.500, 0.500, 0.204], [0.500, 0.500, 0.404], [0.500, 0.500, 0.596], [0.500, 0.500, 0.796]], "total_energy_ev_per_cell": -24.33, "rho_g_cm3": 13.3, "space_group": "P4/mmm (123)", "crystal_system": "tetragonal"}

Record 9
{"formula": "Cd7AgAu4", "functional": "PBE", "state": "optimized geometry", "lattice": [[6.588, -2.560, 0.000], [6.588, 2.560, 0.000], [-6.033, 0.000, 7.983]], "species": ["Cd", "Cd", "Cd", "Cd", "Cd", "Cd", "Cd", "Ag", "Au", "Au", "Au", "Au"], "fractional_positions": [[0.000, 0.000, 0.000], [0.153, 0.153, 0.584], [0.290, 0.290, 0.129], [0.428, 0.428, 0.670], [0.572, 0.572, 0.330], [0.710, 0.710, 0.871], [0.847, 0.847, 0.416], [0.500, 0.500, 0.000], [0.070, 0.070, 0.781], [0.209, 0.209, 0.338], [0.791, 0.791, 0.662], [0.930, 0.930, 0.219]], "total_energy_ev_per_cell": -22.85, "rho_g_cm3": 10.4, "space_group": "C2/m (12)", "crystal_system": "monoclinic"}

Record 10
{"formula": "Cd2Ag5Au5", "functional": "PBE", "state": "optimized geometry", "lattice": [[6.209, -2.100, 0.000], [6.209, 2.100, 0.000], [-4.229, 0.000, 8.434]], "species": ["Cd", "Cd", "Ag", "Ag", "Ag", "Ag", "Ag", "Au", "Au", "Au", "Au", "Au"], "fractional_positions": [[0.084, 0.084, 0.249], [0.916, 0.916, 0.751], [0.335, 0.335, 0.500], [0.415, 0.415, 0.250], [0.500, 0.500, 0.000], [0.585, 0.585, 0.750], [0.665, 0.665, 0.500], [0.000, 0.000, 0.500], [0.166, 0.166, 0.997], [0.250, 0.250, 0.748], [0.750, 0.750, 0.252], [0.834, 0.834, 0.003]], "total_energy_ev_per_cell": -33.51, "rho_g_cm3": 13.2, "space_group": "C2/m (12)", "crystal_system": "monoclinic"}

Record 11
{"formula": "CdAg2Au7", "functional": "PBE", "state": "optimized geometry", "lattice": [[3.705, -7.141, 0.000], [3.705, 7.141, 0.000], [0.000, 0.000, 4.491]], "species": ["Cd", "Ag", "Ag", "Au", "Au", "Au", "Au", "Au", "Au", "Au"], "fractional_positions": [[0.000, 0.000, 0.000], [0.296, 0.704, 0.500], [0.704, 0.296, 0.500], [0.083, 0.290, 0.500], [0.190, 0.810, 0.000], [0.290, 0.083, 0.500], [0.500, 0.500, 0.500], [0.710, 0.917, 0.500], [0.810, 0.190, 0.000], [0.917, 0.710, 0.500]], "total_energy_ev_per_cell": -27.59, "rho_g_cm3": 11.9, "space_group": "Cmmm (65)", "crystal_system": "orthorhombic"}

Record 12
{"formula": "Cd8Ag3Au2", "functional": "PBE", "state": "optimized geometry", "lattice": [[6.177, -4.085, 0.000], [6.177, 4.085, 0.000], [-0.759, 0.000, 5.583]], "species": ["Cd", "Cd", "Cd", "Cd", "Cd", "Cd", "Cd", "Cd", "Ag", "Ag", "Ag", "Au", "Au"], "fractional_positions": [[0.070, 0.693, 0.076], [0.093, 0.093, 0.381], [0.306, 0.306, 0.682], [0.307, 0.930, 0.924], [0.693, 0.070, 0.076], [0.694, 0.694, 0.318], [0.907, 0.907, 0.619], [0.930, 0.307, 0.924], [0.327, 0.673, 0.500], [0.500, 0.500, 0.000], [0.673, 0.327, 0.500], [0.296, 0.296, 0.190], [0.704, 0.704, 0.810]], "total_energy_ev_per_cell": -23.12, "rho_g_cm3": 9.5, "space_group": "C2/m (12)", "crystal_system": "monoclinic"}

Record 13
{"formula": "Cd8AgAu3", "functional": "PBE", "state": "optimized geometry", "lattice": [[4.705, -4.772, 0.000], [4.705, 4.772, 0.000], [-3.972, 0.000, 6.365]], "species": ["Cd", "Cd", "Cd", "Cd", "Cd", "Cd", "Cd", "Cd", "Ag", "Au", "Au", "Au"], "fractional_positions": [[0.111, 0.611, 0.257], [0.139, 0.139, 0.243], [0.361, 0.361, 0.757], [0.389, 0.889, 0.743], [0.611, 0.111, 0.257], [0.639, 0.639, 0.243], [0.861, 0.861, 0.757], [0.889, 0.389, 0.743], [0.000, 0.000, 0.500], [0.250, 0.750, 0.000], [0.500, 0.500, 0.500], [0.750, 0.250, 0.000]], "total_energy_ev_per_cell": -21.28, "rho_g_cm3": 9.3, "space_group": "C2/m (12)", "crystal_system": "monoclinic"}

Record 14
{"formula": "Cd12Ag2Au5", "functional": "PBE", "state": "optimized geometry", "lattice": [[7.581, -3.102, 0.000], [7.581, 3.102, 0.000], [-1.214, 0.000, 9.435]], "species": ["Cd", "Cd", "Cd", "Cd", "Cd", "Cd", "Cd", "Cd", "Cd", "Cd", "Cd", "Cd", "Ag", "Ag", "Au", "Au", "Au", "Au", "Au"], "fractional_positions": [[0.019, 0.019, 0.300], [0.060, 0.554, 0.876], [0.099, 0.607, 0.390], [0.393, 0.901, 0.610], [0.446, 0.940, 0.124], [0.457, 0.457, 0.766], [0.543, 0.543, 0.234], [0.554, 0.060, 0.876], [0.607, 0.099, 0.390], [0.901, 0.393, 0.610], [0.940, 0.446, 0.124], [0.981, 0.981, 0.700], [0.226, 0.774, 0.000], [0.774, 0.226, 0.000], [0.146, 0.146, 0.872], [0.199, 0.199, 0.379], [0.500, 0.500, 0.500], [0.801, 0.801, 0.621], [0.854, 0.854, 0.128]], "total_energy_ev_per_cell": -34.16, "rho_g_cm3": 9.5, "space_group": "C2/m (12)", "crystal_system": "monoclinic"}

Record 15
{"formula": "CdAg2Au2", "functional": "PBE", "state": "optimized geometry", "lattice": [[7.382, 0.000, 0.000], [0.000, 7.382, 0.000], [0.000, 0.000, 3.641]], "species": ["Cd", "Cd", "Ag", "Ag", "Ag", "Ag", "Au", "Au", "Au", "Au"], "fractional_positions": [[0.000, 0.000, 0.000], [0.500, 0.500, 0.000], [0.162, 0.338, 0.500], [0.338, 0.838, 0.500], [0.662, 0.162, 0.500], [0.838, 0.662, 0.500], [0.137, 0.637, 0.000], [0.363, 0.137, 0.000], [0.637, 0.863, 0.000], [0.863, 0.363, 0.000]], "total_energy_ev_per_cell": -26.55, "rho_g_cm3": 12.1, "space_group": "P4/mbm (127)", "crystal_system": "tetragonal"}

Record 16
{"formula": "CdAg7Au2", "functional": "PBE", "state": "optimized geometry", "lattice": [[3.799, -7.017, 0.000], [3.799, 7.017, 0.000], [0.000, 0.000, 4.468]], "species": ["Cd", "Ag", "Ag", "Ag", "Ag", "Ag", "Ag", "Ag", "Au", "Au"], "fractional_positions": [[0.000, 0.000, 0.000], [0.076, 0.288, 0.500], [0.195, 0.805, 0.000], [0.288, 0.076, 0.500], [0.500, 0.500, 0.500], [0.712, 0.924, 0.500], [0.805, 0.195, 0.000], [0.924, 0.712, 0.500], [0.302, 0.698, 0.500], [0.698, 0.302, 0.500]], "total_energy_ev_per_cell": -24.97, "rho_g_cm3": 8.8, "space_group": "Cmmm (65)", "crystal_system": "orthorhombic"}

Record 17
{"formula": "Cd7Ag4Au", "functional": "PBE", "state": "optimized geometry", "lattice": [[5.323, 0.000, 0.000], [0.146, 6.021, 0.000], [1.584, 0.364, 7.418]], "species": ["Cd", "Cd", "Cd", "Cd", "Cd", "Cd", "Cd", "Ag", "Ag", "Ag", "Ag", "Au"], "fractional_positions": [[0.000, 0.000, 0.000], [0.211, 0.511, 0.333], [0.285, 0.751, 0.665], [0.490, 0.250, 0.995], [0.510, 0.750, 0.005], [0.715, 0.249, 0.335], [0.789, 0.489, 0.667], [0.217, 0.007, 0.336], [0.284, 0.243, 0.661], [0.716, 0.757, 0.339], [0.783, 0.993, 0.664], [0.000, 0.500, 0.000]], "total_energy_ev_per_cell": -21.86, "rho_g_cm3": 9.9, "space_group": "P-1 (2)", "crystal_system": "triclinic"}

Record 18
{"formula": "Cd7Ag3Au2", "functional": "PBE", "state": "optimized geometry", "lattice": [[4.913, 0.000, 0.000], [0.000, 3.028, 0.000], [-1.225, 0.000, 16.734]], "species": ["Cd", "Cd", "Cd", "Cd", "Cd", "Cd", "Cd", "Ag", "Ag", "Ag", "Au", "Au"], "fractional_positions": [[0.000, 0.000, 0.000], [0.109, 0.500, 0.212], [0.260, 0.500, 0.542], [0.409, 0.000, 0.854], [0.591, 0.000, 0.146], [0.740, 0.500, 0.458], [0.891, 0.500, 0.788], [0.196, 0.000, 0.380], [0.500, 0.500, 0.000], [0.804, 0.000, 0.620], [0.369, 0.500, 0.704], [0.631, 0.500, 0.296]], "total_energy_ev_per_cell": -21.88, "rho_g_cm3": 10.0, "space_group": "P2/m (10)", "crystal_system": "monoclinic"}

Record 19
{"formula": "CdAg6Au3", "functional": "PBE", "state": "optimized geometry", "lattice": [[4.792, -2.756, 0.000], [4.792, 2.756, 0.000], [-2.975, 0.000, 7.336]], "species": ["Cd", "Ag", "Ag", "Ag", "Ag", "Ag", "Ag", "Au", "Au", "Au"], "fractional_positions": [[0.000, 0.000, 0.000], [0.066, 0.570, 0.193], [0.153, 0.153, 0.441], [0.430, 0.934, 0.807], [0.570, 0.066, 0.193], [0.847, 0.847, 0.559], [0.934, 0.430, 0.807], [0.429, 0.429, 0.807], [0.500, 0.500, 0.500], [0.571, 0.571, 0.193]], "total_energy_ev_per_cell": -27.19, "rho_g_cm3": 11.6, "space_group": "C2/m (12)", "crystal_system": "monoclinic"}

Record 20
{"formula": "Cd2Ag6Au3", "functional": "PBE", "state": "optimized geometry", "lattice": [[5.096, 0.000, 0.000], [0.769, 5.235, 0.000], [1.003, 0.162, 7.598]], "species": ["Cd", "Cd", "Ag", "Ag", "Ag", "Ag", "Ag", "Ag", "Au", "Au", "Au"], "fractional_positions": [[0.049, 0.407, 0.312], [0.951, 0.593, 0.688], [0.229, 0.044, 0.590], [0.321, 0.865, 0.228], [0.406, 0.681, 0.866], [0.594, 0.319, 0.134], [0.679, 0.135, 0.772], [0.771, 0.956, 0.410], [0.138, 0.221, 0.952], [0.500, 0.500, 0.500], [0.862, 0.779, 0.048]], "total_energy_ev_per_cell": -29.48, "rho_g_cm3": 12.0, "space_group": "P-1 (2)", "crystal_system": "triclinic"}

Record 21
{"formula": "Cd5Ag2Au", "functional": "PBE", "state": "optimized geometry", "lattice": [[2.362, -4.971, 0.000], [2.362, 4.971, 0.000], [0.000, 0.000, 14.230]], "species": ["Cd", "Cd", "Cd", "Cd", "Cd", "Cd", "Cd", "Cd", "Cd", "Cd", "Ag", "Ag", "Ag", "Ag", "Au", "Au"], "fractional_positions": [[0.022, 0.978, 0.750], [0.133, 0.867, 0.050], [0.133, 0.867, 0.450], [0.440, 0.560, 0.096], [0.440, 0.560, 0.404], [0.560, 0.440, 0.596], [0.560, 0.440, 0.904], [0.867, 0.133, 0.550], [0.867, 0.133, 0.950], [0.978, 0.022, 0.250], [0.268, 0.732, 0.639], [0.268, 0.732, 0.861], [0.732, 0.268, 0.139], [0.732, 0.268, 0.361], [0.262, 0.738, 0.250], [0.738, 0.262, 0.750]], "total_energy_ev_per_cell": -27.73, "rho_g_cm3": 9.7, "space_group": "Cmcm (63)", "crystal_system": "orthorhombic"}